VASP calculation (PBEsol) on crystalline SrYMg2 at its relaxed geometry.

a = 11.238 Å, b = 11.238 Å, c = 11.238 Å
α = 18.59°, β = 18.59°, γ = 18.59°
Fractional coordinates of all 4 atoms:
Sr (0.000, 0.000, 0.000)
Y (0.500, 0.500, 0.500)
Mg (0.245, 0.245, 0.245)
Mg (0.755, 0.755, 0.755)

Results
**Magnetic moment**: 0.00 Bohr magnetons per cell
**Polymorph energy (0 for the lowest one)**: 141 meV per atom
**Formation energy**: 0.113 eV/atom

=====

VASP calculation (PBEsol) on crystalline InPt3I at its relaxed geometry.

a = 4.916 Å, b = 4.916 Å, c = 4.916 Å
α = 90.00°, β = 90.00°, γ = 90.00°
Fractional coordinates of all 5 atoms:
In (0.000, 0.000, 0.000)
Pt (0.000, 0.000, 0.500)
Pt (0.000, 0.500, 0.000)
Pt (0.500, 0.000, 0.000)
I (0.500, 0.500, 0.500)

Results
**ΔE_f (raw)**: 1.148 eV per atom
**Magnetic moment**: 0.00 Bohr magnetons per cell

=====

VASP calculation (PBEsol) on crystalline AlCr2Fe at its relaxed geometry.

a = 4.013 Å, b = 4.013 Å, c = 4.013 Å
α = 60.00°, β = 60.00°, γ = 60.00°
Fractional coordinates of all 4 atoms:
Al (0.000, 0.000, 0.000)
Cr (0.500, 0.500, 0.500)
Cr (0.750, 0.750, 0.750)
Fe (0.250, 0.250, 0.250)

Results
**Magnetic moment**: 1.04 Bohr magnetons per cell
**Polymorph energy (0 for the lowest one)**: 90 meV per atom
**Formation energy**: -0.055 eV/atom

=====

VASP calculation (PBEsol) on crystalline FeSnF6 at its relaxed geometry.

a = 5.572 Å, b = 5.572 Å, c = 5.572 Å
α = 56.00°, β = 56.00°, γ = 56.00°
Fractional coordinates of all 8 atoms:
Fe (0.000, 0.000, 0.000)
Sn (0.500, 0.500, 0.500)
F (0.126, 0.372, 0.753)
F (0.247, 0.874, 0.628)
F (0.372, 0.753, 0.126)
F (0.628, 0.247, 0.874)
F (0.753, 0.126, 0.372)
F (0.874, 0.628, 0.247)

Results
**ΔE_f (raw)**: -2.253 eV per atom
**Magnetic moment**: 4.05 Bohr magnetons per cell